# KPa2Zn2O7

A geometry-optimized KPa2Zn2O7 structure (PBE, the Alexandria database).

Output
size of the total moment	0.52	μB/f.u.
DOS(E_F)	0.390	states/eV per atom
uncorrected formation energy	-2547.0	meV/atom

Cell: 10.304 10.304 10.304 Å, 156.01 155.29 34.71°
Element x y z (fractional)
1 K 0.000 0.000 0.000
2 Pa 0.388 0.388 0.000
3 Pa 0.612 0.612 0.000
4 Zn 0.235 0.735 0.500
5 Zn 0.765 0.265 0.500
6 O 0.125 0.625 0.500
7 O 0.269 0.269 0.000
8 O 0.395 0.895 0.500
9 O 0.500 0.500 0.000
10 O 0.605 0.105 0.500
11 O 0.731 0.731 0.000
12 O 0.875 0.375 0.500

***

# K2PaZn2O6

A geometry-optimized K2PaZn2O6 structure (PBE, the Alexandria database).

Output
size of the total moment	0.90	μB/f.u.
DOS(E_F)	0.864	states/eV per atom
uncorrected formation energy	-1991.4	meV/atom

Cell: 5.564 5.564 6.364 Å, 90.00 90.00 120.00°
Element x y z (fractional)
1 K 0.333 0.667 0.000
2 K 0.667 0.333 0.000
3 Pa 0.000 0.000 0.500
4 Zn 0.333 0.667 0.500
5 Zn 0.667 0.333 0.500
6 O 0.000 0.338 0.677
7 O 0.000 0.662 0.323
8 O 0.338 0.000 0.677
9 O 0.338 0.338 0.323
10 O 0.662 0.000 0.323
11 O 0.662 0.662 0.677

***

# KPaZnO4

A geometry-optimized KPaZnO4 structure (PBE, the Alexandria database).

Output
size of the total moment	0.00	μB/f.u.
DOS(E_F)	0.000	states/eV per atom
uncorrected formation energy	-2456.7	meV/atom

Cell: 7.099 7.099 7.099 Å, 127.78 120.04 83.50°
Element x y z (fractional)
1 K 0.424 0.174 0.250
2 K 0.576 0.826 0.750
3 Pa 0.000 0.500 0.500
4 Pa 0.500 0.500 0.000
5 Zn 0.000 0.000 0.500
6 Zn 0.000 0.500 0.000
7 O 0.142 0.704 0.438
8 O 0.234 0.296 0.938
9 O 0.262 0.305 0.542
10 O 0.262 0.720 0.958
11 O 0.738 0.280 0.042
12 O 0.738 0.695 0.458
13 O 0.766 0.704 0.062
14 O 0.858 0.296 0.562

***

# KPa3Zn4O12

A geometry-optimized KPa3Zn4O12 structure (PBE, the Alexandria database).

Output
size of the total moment	0.00	μB/f.u.
DOS(E_F)	0.000	states/eV per atom
uncorrected formation energy	-2518.6	meV/atom

Cell: 7.326 7.326 7.326 Å, 106.04 106.04 106.04°
Element x y z (fractional)
1 K 0.000 0.000 0.000
2 Pa 0.000 0.552 0.448
3 Pa 0.448 0.000 0.552
4 Pa 0.552 0.448 0.000
5 Zn 0.055 0.500 0.945
6 Zn 0.500 0.500 0.500
7 Zn 0.500 0.945 0.055
8 Zn 0.945 0.055 0.500
9 O 0.029 0.627 0.752
10 O 0.109 0.891 0.500
11 O 0.248 0.373 0.971
12 O 0.338 0.662 0.500
13 O 0.373 0.971 0.248
14 O 0.500 0.109 0.891
15 O 0.500 0.338 0.662
16 O 0.627 0.752 0.029
17 O 0.662 0.500 0.338
18 O 0.752 0.029 0.627
19 O 0.891 0.500 0.109
20 O 0.971 0.248 0.373

***

# KZrPa2O8

A geometry-optimized KZrPa2O8 structure (PBE, the Alexandria database).

Output
size of the total moment	0.65	μB/f.u.
DOS(E_F)	0.688	states/eV per atom
uncorrected formation energy	-3004.1	meV/atom

Cell: 5.142 5.142 7.203 Å, 90.00 90.00 92.00°
Element x y z (fractional)
1 K 0.000 0.000 0.000
2 Zr 0.000 0.000 0.500
3 Pa 0.500 0.500 0.249
4 Pa 0.500 0.500 0.751
5 O 0.208 0.208 0.292
6 O 0.208 0.208 0.708
7 O 0.300 0.700 0.500
8 O 0.334 0.666 0.000
9 O 0.666 0.334 0.000
10 O 0.700 0.300 0.500
11 O 0.792 0.792 0.292
12 O 0.792 0.792 0.708

***

# KZrPaO6

A geometry-optimized KZrPaO6 structure (PBE, the Alexandria database).

Output
size of the total moment	2.01	μB/f.u.
DOS(E_F)	0.251	states/eV per atom
uncorrected formation energy	-2511.8	meV/atom

Cell: 5.919 5.919 4.878 Å, 90.00 90.00 120.00°
Element x y z (fractional)
1 K 0.000 0.000 0.000
2 Zr 0.333 0.667 0.000
3 Pa 0.667 0.333 0.500
4 O 0.005 0.420 0.244
5 O 0.005 0.585 0.756
6 O 0.415 0.420 0.756
7 O 0.415 0.995 0.244
8 O 0.580 0.585 0.244
9 O 0.580 0.995 0.756

***

# K2Zr3PaO12

A geometry-optimized K2Zr3PaO12 structure (PBE, the Alexandria database).

Output
size of the total moment	5.10	μB/f.u.
DOS(E_F)	0.528	states/eV per atom
uncorrected formation energy	-2325.2	meV/atom

Cell: 7.871 7.871 7.871 Å, 59.38 59.38 59.38°
Element x y z (fractional)
1 K 0.111 0.111 0.111
2 K 0.889 0.889 0.889
3 Zr 0.000 0.500 0.500
4 Zr 0.500 0.000 0.500
5 Zr 0.500 0.500 0.000
6 Pa 0.500 0.500 0.500
7 O 0.178 0.571 0.571
8 O 0.182 0.182 0.571
9 O 0.182 0.571 0.182
10 O 0.429 0.429 0.822
11 O 0.429 0.818 0.818
12 O 0.429 0.822 0.429
13 O 0.571 0.178 0.571
14 O 0.571 0.182 0.182
15 O 0.571 0.571 0.178
16 O 0.818 0.429 0.818
17 O 0.818 0.818 0.429
18 O 0.822 0.429 0.429

***

# K2ZrPa3O12

A geometry-optimized K2ZrPa3O12 structure (PBE, the Alexandria database).

Output
size of the total moment	0.06	μB/f.u.
DOS(E_F)	0.972	states/eV per atom
uncorrected formation energy	-2779.5	meV/atom

Cell: 7.919 7.919 7.919 Å, 61.13 61.13 61.13°
Element x y z (fractional)
1 K 0.105 0.105 0.105
2 K 0.895 0.895 0.895
3 Zr 0.500 0.500 0.500
4 Pa 0.000 0.500 0.500
5 Pa 0.500 0.000 0.500
6 Pa 0.500 0.500 0.000
7 O 0.179 0.179 0.577
8 O 0.179 0.577 0.179
9 O 0.189 0.563 0.563
10 O 0.423 0.821 0.821
11 O 0.437 0.437 0.811
12 O 0.437 0.811 0.437
13 O 0.563 0.189 0.563
14 O 0.563 0.563 0.189
15 O 0.577 0.179 0.179
16 O 0.811 0.437 0.437
17 O 0.821 0.423 0.821
18 O 0.821 0.821 0.423

***

# KZr2PaO8

A geometry-optimized KZr2PaO8 structure (PBE, the Alexandria database).

Output
size of the total moment	0.07	μB/f.u.
DOS(E_F)	0.000	states/eV per atom
uncorrected formation energy	-2777.6	meV/atom

Cell: 5.132 5.132 7.423 Å, 90.89 90.89 87.15°
Element x y z (fractional)
1 K 0.000 0.000 0.000
2 Zr 0.497 0.497 0.714
3 Zr 0.503 0.503 0.286
4 Pa 0.000 0.000 0.500
5 O 0.199 0.783 0.293
6 O 0.217 0.801 0.707
7 O 0.315 0.315 0.498
8 O 0.398 0.398 0.995
9 O 0.602 0.602 0.005
10 O 0.685 0.685 0.502
11 O 0.783 0.199 0.293
12 O 0.801 0.217 0.707

***

# K4Zr3PaO12

A geometry-optimized K4Zr3PaO12 structure (PBE, the Alexandria database).

Output
size of the total moment	3.01	μB/f.u.
DOS(E_F)	0.535	states/eV per atom
uncorrected formation energy	-2574.0	meV/atom

Cell: 7.399 7.399 7.399 Å, 109.47 109.47 109.47°
Element x y z (fractional)
1 K 0.000 0.000 0.500
2 K 0.000 0.500 0.000
3 K 0.500 0.000 0.000
4 K 0.500 0.500 0.500
5 Zr 0.000 0.500 0.500
6 Zr 0.500 0.000 0.500
7 Zr 0.500 0.500 0.000
8 Pa 0.000 0.000 0.000
9 O 0.000 0.253 0.253
10 O 0.000 0.747 0.747
11 O 0.250 0.500 0.750
12 O 0.250 0.750 0.500
13 O 0.253 0.000 0.253
14 O 0.253 0.253 0.000
15 O 0.500 0.250 0.750
16 O 0.500 0.750 0.250
17 O 0.747 0.000 0.747
18 O 0.747 0.747 0.000
19 O 0.750 0.250 0.500
20 O 0.750 0.500 0.250

***

# K5PbO

A geometry-optimized K5PbO structure (PBE, the Alexandria database).

Output
size of the total moment	0.71	μB/f.u.
DOS(E_F)	0.611	states/eV per atom
uncorrected formation energy	-463.2	meV/atom

Cell: 7.997 7.997 11.194 Å, 110.39 110.39 60.91°
Element x y z (fractional)
1 K 0.001 0.999 0.750
2 K 0.098 0.629 0.431
3 K 0.104 0.628 0.933
4 K 0.371 0.902 0.069
5 K 0.372 0.896 0.567
6 K 0.628 0.104 0.433
7 K 0.629 0.098 0.931
8 K 0.896 0.372 0.067
9 K 0.902 0.371 0.569
10 K 0.999 0.001 0.250
11 Pb 0.500 0.500 0.250
12 Pb 0.500 0.500 0.750
13 O 0.000 0.000 0.000
14 O 0.000 0.000 0.500

***

# K2PbO

A geometry-optimized K2PbO structure (PBE, the Alexandria database).

Output
size of the total moment	0.27	μB/f.u.
DOS(E_F)	1.120	states/eV per atom
uncorrected formation energy	-576.7	meV/atom

Cell: 11.014 11.014 11.014 Å, 19.26 19.26 19.26°
Element x y z (fractional)
1 K 0.122 0.122 0.122
2 K 0.878 0.878 0.878
3 Pb 0.000 0.000 0.000
4 O 0.500 0.500 0.500

***

# KPb2O4

A geometry-optimized KPb2O4 structure (PBE, the Alexandria database).

Output
size of the total moment	0.00	μB/f.u.
DOS(E_F)	0.326	states/eV per atom
uncorrected formation energy	-1023.4	meV/atom

Cell: 6.001 3.505 6.746 Å, 90.00 90.87 90.00°
Element x y z (fractional)
1 K 0.000 0.000 0.000
2 Pb 0.000 0.000 0.500
3 Pb 0.500 0.500 0.500
4 O 0.151 0.500 0.678
5 O 0.316 0.000 0.337
6 O 0.684 0.000 0.663
7 O 0.849 0.500 0.322

***

# KPbO3

A geometry-optimized KPbO3 structure (PBE, the Alexandria database).

Output
size of the total moment	1.03	μB/f.u.
DOS(E_F)	0.074	states/eV per atom
uncorrected formation energy	-684.5	meV/atom

Cell: 7.083 6.879 7.279 Å, 90.00 90.00 90.00°
Element x y z (fractional)
1 K 0.000 0.000 0.000
2 K 0.000 0.500 0.000
3 K 0.500 0.000 0.500
4 K 0.500 0.500 0.500
5 Pb 0.006 0.250 0.441
6 Pb 0.494 0.750 0.941
7 Pb 0.506 0.250 0.059
8 Pb 0.994 0.750 0.559
9 O 0.121 0.540 0.363
10 O 0.121 0.960 0.363
11 O 0.200 0.750 0.780
12 O 0.300 0.250 0.280
13 O 0.379 0.040 0.863
14 O 0.379 0.460 0.863
15 O 0.621 0.540 0.137
16 O 0.621 0.960 0.137
17 O 0.700 0.750 0.720
18 O 0.800 0.250 0.220
19 O 0.879 0.040 0.637
20 O 0.879 0.460 0.637

***

# K14PbO

A geometry-optimized K14PbO structure (PBE, the Alexandria database).

Output
size of the total moment	0.00	μB/f.u.
DOS(E_F)	0.740	states/eV per atom
uncorrected formation energy	-157.8	meV/atom

Cell: 11.843 9.844 9.844 Å, 66.66 90.00 90.00°
Element x y z (fractional)
1 K 0.000 0.000 0.000
2 K 0.000 0.437 0.437
3 K 0.000 0.520 0.927
4 K 0.000 0.927 0.520
5 K 0.272 0.219 0.219
6 K 0.305 0.281 0.726
7 K 0.305 0.726 0.281
8 K 0.334 0.847 0.847
9 K 0.500 0.498 0.910
10 K 0.500 0.910 0.498
11 K 0.666 0.847 0.847
12 K 0.695 0.281 0.726
13 K 0.695 0.726 0.281
14 K 0.728 0.219 0.219
15 Pb 0.500 0.060 0.060
16 O 0.500 0.761 0.761

***

# K2PbO3

A geometry-optimized K2PbO3 structure (PBE, the Alexandria database).

Output
size of the total moment	0.08	μB/f.u.
uncorrected formation energy	-1246.4	meV/atom

Cell: 6.105 10.792 7.062 Å, 90.00 90.00 90.00°
Element x y z (fractional)
1 K 0.234 0.086 0.113
2 K 0.234 0.414 0.113
3 K 0.266 0.586 0.613
4 K 0.266 0.914 0.613
5 K 0.734 0.086 0.387
6 K 0.734 0.414 0.387
7 K 0.766 0.586 0.887
8 K 0.766 0.914 0.887
9 Pb 0.227 0.750 0.152
10 Pb 0.273 0.250 0.652
11 Pb 0.727 0.750 0.348
12 Pb 0.773 0.250 0.848
13 O 0.009 0.116 0.718
14 O 0.009 0.384 0.718
15 O 0.125 0.750 0.873
16 O 0.375 0.250 0.373
17 O 0.491 0.616 0.218
18 O 0.491 0.884 0.218
19 O 0.509 0.116 0.782
20 O 0.509 0.384 0.782
21 O 0.625 0.750 0.627
22 O 0.875 0.250 0.127
23 O 0.991 0.616 0.282
24 O 0.991 0.884 0.282

***

# KPb4O6

A geometry-optimized KPb4O6 structure (PBE, the Alexandria database).

Output
size of the total moment	0.00	μB/f.u.
DOS(E_F)	0.486	states/eV per atom
uncorrected formation energy	-743.8	meV/atom

Cell: 6.854 6.854 6.854 Å, 124.66 124.66 82.10°
Element x y z (fractional)
1 K 0.000 0.000 0.000
2 Pb 0.190 0.547 0.000
3 Pb 0.453 0.453 0.643
4 Pb 0.547 0.190 0.000
5 Pb 0.810 0.810 0.357
6 O 0.000 0.500 0.500
7 O 0.125 0.125 0.701
8 O 0.424 0.424 0.299
9 O 0.500 0.000 0.500
10 O 0.576 0.875 0.000
11 O 0.875 0.576 0.000

***

# K2PbO

A geometry-optimized K2PbO structure (PBE, the Alexandria database).

Output
size of the total moment	0.69	μB/f.u.
DOS(E_F)	1.262	states/eV per atom
uncorrected formation energy	131.7	meV/atom

Cell: 5.550 5.550 5.550 Å, 60.00 60.00 60.00°
Element x y z (fractional)
1 K 0.250 0.250 0.250
2 K 0.750 0.750 0.750
3 Pb 0.000 0.000 0.000
4 O 0.500 0.500 0.500